DFT (PBE) results for an optimized crystal structure of Al3Ag.

Results
**Formation energy from the elements**: 1 kJ/mol of formula units

Cell lengths 4.132, 8.027, 12.183 Å; angles 90.00, 90.00, 90.00 degrees
Space group Immm (No. 71)
Inequivalent atoms, fractional coordinates:
1 Al 0.000 0.000 0.000 x2
2 Al 0.000 0.247 0.500 x4
3 Al 0.000 0.252 0.166 x8
4 Al 0.000 0.500 0.340 x4
5 Ag 0.000 0.000 0.324 x4
6 Ag 0.000 0.500 0.000 x2



DFT (PBE) results for an optimized crystal structure of AlAg.

Results
**Formation energy from the elements**: -4 kJ/mol of formula units

Cell lengths 4.954, 5.457, 10.118 Å; angles 90.00, 90.00, 90.00 degrees
Space group P2_12_12_1 (No. 19)
Inequivalent atoms, fractional coordinates:
1 Al 0.164 0.012 0.320 x4
2 Al 0.171 0.313 0.555 x4
3 Ag 0.159 0.490 0.806 x4
4 Ag 0.162 0.179 0.067 x4



DFT (PBE) results for an optimized crystal structure of Al5Ag2.

Results
**Formation energy from the elements**: 1 kJ/mol of formula units
**Distance to the lowest polymorph of the same formula**: 27 meV per atom

Cell lengths 4.983, 4.995, 5.039 Å; angles 100.38, 100.17, 100.24 degrees
Space group P-1 (No. 2)
Inequivalent atoms, fractional coordinates:
1 Al 0.000 0.000 0.000 x1
2 Al 0.288 0.144 0.567 x2
3 Al 0.427 0.719 0.864 x2
4 Ag 0.147 0.578 0.289 x2



DFT (PBE) results for an optimized crystal structure of Al7Ag5.

Results
**Formation energy from the elements**: 0 kJ/mol of formula units
**Distance to the lowest polymorph of the same formula**: 29 meV per atom

Cell lengths 4.006, 8.203, 6.469 Å; angles 90.00, 106.37, 90.00 degrees
Space group P2 (No. 3)
Inequivalent atoms, fractional coordinates:
1 Al 0.000 0.000 0.000 x1
2 Al 0.170 0.735 0.337 x2
3 Al 0.331 0.988 0.664 x2
4 Al 0.335 0.487 0.669 x2
5 Ag 0.000 0.502 0.000 x1
6 Ag 0.169 0.237 0.335 x2
7 Ag 0.500 0.240 0.000 x1
8 Ag 0.500 0.759 0.000 x1



DFT (PBE) results for an optimized crystal structure of Al5Ag.

Results
**Formation energy from the elements**: 1 kJ/mol of formula units
**Distance to the lowest polymorph of the same formula**: 12 meV per atom

Cell lengths 2.896, 4.071, 8.541 Å; angles 90.00, 90.00, 90.00 degrees
Space group Pmmm (No. 47)
Inequivalent atoms, fractional coordinates:
1 Al 0.000 0.000 0.000 x1
2 Al 0.000 0.000 0.331 x2
3 Al 0.500 0.500 0.164 x2
4 Ag 0.500 0.500 0.500 x1



DFT (PBE) results for an optimized crystal structure of AlAg.

Results
**Formation energy from the elements**: 5 kJ/mol of formula units

Cell lengths 7.3147, 7.3147, 4.7618 Å; angles 90.00, 90.00, 120.00 degrees
Space group P6_3/m (No. 176)
Inequivalent atoms, fractional coordinates:
1 Al 0.0421 0.7930 0.2500 x6
2 Ag 0.0773 0.6224 0.7500 x6



DFT (PBE) results for an optimized crystal structure of AlAg.

Results
**Formation energy from the elements**: -9 kJ/mol of formula units

Cell lengths 2.9863, 2.9863, 4.3943 Å; angles 90.00, 90.00, 120.00 degrees
Space group P-6m2 (No. 187)
Inequivalent atoms, fractional coordinates:
1 Al 0.0000 0.0000 0.0000 x1
2 Ag 0.3333 0.6667 0.5000 x1



DFT (PBE) results for an optimized crystal structure of Al5Ag3.

Results
**Formation energy from the elements**: -10 kJ/mol of formula units
**Distance to the lowest polymorph of the same formula**: 27 meV per atom

Cell lengths 5.951, 8.083, 5.631 Å; angles 90.00, 90.00, 90.00 degrees
Space group Cmm2 (No. 35)
Inequivalent atoms, fractional coordinates:
1 Al 0.000 0.000 0.000 x2
2 Al 0.000 0.000 0.490 x2
3 Al 0.000 0.500 0.507 x2
4 Al 0.250 0.250 0.244 x4
5 Ag 0.000 0.500 0.018 x2
6 Ag 0.250 0.250 0.737 x4



DFT (PBE) results for an optimized crystal structure of AlAg.

Results
**Formation energy from the elements**: -2 kJ/mol of formula units

Cell lengths 5.573, 8.258, 5.923 Å; angles 90.00, 90.00, 90.00 degrees
Space group Cccm (No. 66)
Inequivalent atoms, fractional coordinates:
1 Al 0.000 0.000 0.250 x4
2 Al 0.250 0.250 0.000 x4
3 Ag 0.000 0.500 0.250 x4
4 Ag 0.250 0.250 0.500 x4



DFT (PBE) results for an optimized crystal structure of Al3Ag.

Results
**Formation energy from the elements**: 22 kJ/mol of formula units

Cell lengths 2.822, 4.939, 4.924 Å; angles 90.00, 90.00, 90.00 degrees
Space group Pmm2 (No. 25)
Inequivalent atoms, fractional coordinates:
1 Al 0.000 0.000 0.000 x1
2 Al 0.000 0.500 0.335 x1
3 Al 0.500 0.500 0.845 x1
4 Ag 0.500 0.000 0.503 x1



DFT (PBE) results for an optimized crystal structure of AlAg2.

Results
**Formation energy from the elements**: -12 kJ/mol of formula units

Cell lengths 5.752, 5.764, 7.378 Å; angles 71.40, 82.32, 62.00 degrees
Space group P-1 (No. 2)
Inequivalent atoms, fractional coordinates:
1 Al 0.000 0.000 0.000 x1
2 Al 0.176 0.336 0.666 x2
3 Al 0.500 0.500 0.000 x1
4 Ag 0.000 0.500 0.000 x1
5 Ag 0.173 0.834 0.681 x2
6 Ag 0.320 0.177 0.341 x2
7 Ag 0.326 0.671 0.329 x2
8 Ag 0.500 0.000 0.000 x1



DFT (PBE) results for an optimized crystal structure of Al6Ag.

Results
**Formation energy from the elements**: 0 kJ/mol of formula units
**Distance to the lowest polymorph of the same formula**: 9 meV per atom

Cell lengths 7.5143, 7.5143, 7.2147 Å; angles 90.00, 90.00, 120.00 degrees
Space group R-3 (No. 148, hexagonal axes)
Inequivalent atoms, fractional coordinates:
1 Al 0.0470 0.2355 0.1626 x18
2 Ag 0.0000 0.0000 0.5000 x3